1.
Computed, not measured: CdBrCl2 after structural relaxation at the PBE-GGA level of DFT.

abc: 6.3766 6.3766 5.7365
angles: 107.64 107.64 34.25
Element x y z (fractional)
Cd  0.0000  0.0000  0.0000
Br  0.5000  0.5000  0.5000
Cl  0.3494  0.3494  0.8237
Cl  0.6506  0.6506  0.1763

Properties
energy above the lowest structure with this stoichiometry	1.13	eV per formula unit
magnetic moment	1.012	μB/f.u.
ΔE_f (raw)	-0.49	eV per atom
total DFT energy (no corrections)	-2.065	eV per atom


2.
Computed, not measured: CdBrCl2 after structural relaxation at the PBE-GGA level of DFT.

abc: 5.0557 5.0557 5.0557
angles: 60.00 60.00 60.00
Element x y z (fractional)
Cd  0.0000  0.0000  0.0000
Br  0.7500  0.7500  0.7500
Cl  0.2500  0.2500  0.2500
Cl  0.5000  0.5000  0.5000

Properties
energy above the lowest structure with this stoichiometry	2.74	eV per formula unit
magnetic moment	1.053	μB/f.u.
ΔE_f (raw)	-0.09	eV per atom
total DFT energy (no corrections)	-1.662	eV per atom


3.
Computed, not measured: CdBrCl2 after structural relaxation at the PBE-GGA level of DFT.

abc: 3.9533 6.7308 10.4234
angles: 88.82 86.80 89.81
Element x y z (fractional)
Cd  0.0000  0.0000  0.0000
Cd  0.4989  0.5020  0.9973
Br  0.1578  0.6046  0.5467
Br  0.3323  0.9016  0.4506
Cl  0.0189  0.3365  0.8601
Cl  0.4797  0.1655  0.1372
Cl  0.5203  0.8409  0.8618
Cl  0.9781  0.6611  0.1356

Properties
energy above the lowest structure with this stoichiometry	0.00	eV per formula unit
magnetic moment	0.000	μB/f.u.
ΔE_f (raw)	-0.78	eV per atom
total DFT energy (no corrections)	-2.347	eV per atom